VASP calculation (PBE) on a relaxed structure of ZrIn2Se4.

Properties
- formation energy (no corrections) (meV/atom) = -456
- total DFT energy (no corrections) (eV per atom) = -4.4505

Cell lengths 7.6526, 7.6526, 7.2378 Å; angles 90.00, 90.00, 90.00 degrees
Space group I4/m (No. 87)
Inequivalent atoms, fractional coordinates:
Zr: 0.0000 0.0000 0.0000
In: 0.0000 0.5000 0.2500
Se: 0.1786 0.6944 0.0000

VASP calculation (PBE) on a relaxed structure of Zr2InSe.

Properties
- formation energy (no corrections) (meV/atom) = -313
- energy relative to the lowest polymorph listed for this composition (meV/atom) = 372
- total DFT energy (no corrections) (eV per atom) = -6.1425

Cell lengths 4.1654, 4.1654, 9.9353 Å; angles 90.00, 90.00, 90.00 degrees
Space group I-4m2 (No. 119)
Inequivalent atoms, fractional coordinates:
Zr: 0.0000 0.0000 0.0000
Zr: 0.0000 0.5000 0.2500
In: 0.0000 0.5000 0.7500
Se: 0.0000 0.0000 0.5000

VASP calculation (PBE) on a relaxed structure of Zr2InSe.

Properties
- formation energy (no corrections) (meV/atom) = -355
- energy relative to the lowest polymorph listed for this composition (meV/atom) = 329
- total DFT energy (no corrections) (eV per atom) = -6.1852

Cell lengths 3.7768, 4.4331, 5.1690 Å; angles 90.00, 90.00, 90.00 degrees
Space group Pmmm (No. 47)
Inequivalent atoms, fractional coordinates:
Zr: 0.0000 0.0000 0.0000
Zr: 0.5000 0.0000 0.5000
In: 0.0000 0.5000 0.5000
Se: 0.5000 0.5000 0.0000

> Which formula does entry 3 have?

Zr2InSe

> total DFT energy (no corrections) of number 3 (Zr2InSe)?

-6.1852 eV per atom